Entry 1:
Computed, not measured: a geometry-optimized Nd8SbN4 structure at the GGA-PBE level of DFT.

Structure (POSCAR):
```
Nd8SbN4
1.0
-3.9132 -4.9184 4.6259
2.5377 -1.3944 7.2470
-3.9854 2.7400 6.1247
Sb Nd N
1 8 4
Cartesian
-4.0207 -2.6797 13.4982
-1.5979 -3.2733 8.3336
-0.7526 -0.5016 2.5265
-1.6275 -0.1392 8.9470
-2.4684 -2.6582 4.5549
-3.2289 -2.1520 10.8401
-4.2674 -1.5813 7.8744
-2.5000 0.6998 5.2121
0.3601 -1.1130 5.7041
-4.0054 -3.8592 9.0639
-0.6836 -2.0445 10.4136
-4.0425 0.0844 9.8357
-1.9903 -1.3265 6.6819
```

Properties
The calculation puts the formation energy (no corrections) at -748.2 meV per atom. The crystal system is cubic.

***

Entry 2:
Computed, not measured: a geometry-optimized HfMnSb2 structure at the GGA-PBE level of DFT.

Structure (POSCAR):
```
HfMnSb2
1.0
0.5325 -3.4255 -3.3269
-2.8886 -3.8396 0.0213
-3.3062 -0.5382 -3.4447
Sb Mn Hf
2 1 1
Cartesian
-1.4156 -1.9508 -1.6876
-4.2467 -5.8525 -5.0627
0.0000 0.0000 0.0000
-2.8311 -3.9017 -3.3751
```

Properties
The calculation puts the formation energy (no corrections) at 239.8 meV per atom. The crystal system is cubic.

***

Entry 3:
Computed, not measured: a geometry-optimized PrSc3Pt2 structure at the GGA-PBE level of DFT.

Structure (POSCAR):
```
PrSc3Pt2
1.0
-0.7861 4.4765 0.2460
-2.0231 0.0052 -6.5599
-8.0652 -1.5529 2.4861
Pt Sc Pr
4 6 2
Cartesian
-2.0626 2.0168 -1.1827
-4.1865 -0.5120 -4.0618
-5.8818 -1.0357 0.0525
-8.8255 0.9121 -2.6898
-8.4737 -1.4402 -0.8698
-3.1835 -0.4713 -1.5958
-7.4564 0.9357 1.2556
-2.9948 1.9921 -3.7114
-7.3448 -1.0752 -3.9048
-2.5641 -0.1050 -6.2831
-6.0415 1.3531 -1.8185
-3.8725 1.5733 1.1046
```

Properties
The crystal system is orthorhombic. The formation energy is -0.931 eV per atom.

***

Entry 4:
Computed, not measured: a geometry-optimized Nd6GaNi2I3 structure at the GGA-PBE level of DFT.

Structure (POSCAR):
```
Nd6GaNi2I3
1.0
7.2530 0.0541 0.0076
-3.5779 6.3093 0.0076
-1.2174 -2.1080 7.9656
Nd I Ni Ga
6 3 2 1
Cartesian
2.3742 4.1109 1.5208
3.7129 2.0183 6.4055
-0.1074 4.2247 6.4055
-1.2552 2.2372 1.5754
2.5651 0.0308 1.5754
0.0835 0.1446 6.4600
1.2289 2.1277 3.9904
4.9149 -0.0011 3.9904
-2.4572 4.2566 3.9904
-0.0018 4.2440 0.0076
3.6769 2.1194 0.0076
0.0000 0.0000 0.0000
```

Properties
The calculation puts the formation energy (no corrections) at -658.6 meV per atom. The crystal system is monoclinic.